Entry a
Tc3HgGe (PBE, relaxed); calculated volume = 133 Å³ per cell; density of states at the Fermi level = 13.3 states/eV/f.u.; magnetization = 9.90 μB/f.u.
1.0
5.104 0.000 0.000
0.000 5.104 0.000
0.000 0.000 5.104
Tc Hg Ge
3 1 1
Direct
0.000 0.000 0.500
0.000 0.500 0.000
0.500 0.000 0.000
0.000 0.000 0.000
0.500 0.500 0.500

---

Entry b
Tc3HgGe (PBE, relaxed); calculated volume = 97 Å³ per cell; density of states at the Fermi level = 6.8 states/eV/f.u.; magnetization = 2.81 μB/f.u.
1.0
4.589 0.000 0.000
0.000 4.589 0.000
0.000 0.000 4.589
Tc Hg Ge
3 1 1
Direct
0.000 0.000 0.500
0.000 0.500 0.000
0.500 0.000 0.000
0.500 0.500 0.500
0.000 0.000 0.000

---

Ranking the structures above by stability puts entry b first and entry a last.